DFT (PBEsol) results for a relaxed structure of Li2BiP3O10. Values from VASP.

The structure in Quantum ESPRESSO input format:
```
&SYSTEM
  ibrav = 0, nat = 32, ntyp = 4
/
ATOMIC_SPECIES
Li 6.94 Li.upf
Bi 208.98 Bi.upf
P 30.97 P.upf
O 16.00 O.upf
ATOMIC_POSITIONS crystal
Li 0.153 0.083 0.454
Li 0.153 0.417 0.454
Li 0.847 0.583 0.546
Li 0.847 0.917 0.546
Bi 0.500 0.000 0.000
Bi 0.500 0.500 0.000
P 0.019 0.250 0.035
P 0.327 0.750 0.490
P 0.346 0.750 0.210
P 0.654 0.250 0.790
P 0.673 0.250 0.510
P 0.981 0.750 0.965
O 0.061 0.750 0.116
O 0.086 0.608 0.917
O 0.086 0.892 0.917
O 0.200 0.608 0.524
O 0.200 0.892 0.524
O 0.247 0.750 0.335
O 0.329 0.250 0.055
O 0.370 0.250 0.474
O 0.491 0.607 0.192
O 0.491 0.893 0.192
O 0.509 0.107 0.808
O 0.509 0.393 0.808
O 0.630 0.750 0.526
O 0.671 0.750 0.945
O 0.753 0.250 0.665
O 0.800 0.108 0.476
O 0.800 0.392 0.476
O 0.914 0.108 0.083
O 0.914 0.392 0.083
O 0.939 0.250 0.884
CELL_PARAMETERS angstrom
5.124 0.000 0.000
0.000 8.982 0.000
-2.260 0.000 10.676
```

Formation energy without anion corrections: -2.102 eV/atom
Total magnetic moment: 0.00 μB/f.u.
Calculated volume: 491.4 Å³ per cell